Computed, not measured: a relaxed structure of ScCoIO2 at the GGA+U level of DFT.

Lattice parameters (Å, degrees): 3.9975 3.9975 6.3803 90.00 90.00 90.00
Last column: nearest neighbours and their distance in Å.
Space group P4/mmm (No. 123)
One atom of each set of equivalent atoms:
Sc: 0.0000 0.0000 0.0000 (multiplicity 1)  4 O 2.00
Co: 0.5000 0.5000 0.5000 (multiplicity 1)  4 I 2.83
I: 0.0000 0.0000 0.5000 (multiplicity 1)  4 Co 2.83
O: 0.0000 0.5000 0.0000 (multiplicity 2)  2 Sc 2.00

Output
Crystal system: tetragonal
Uncorrected energy, eV per atom: -5.65
Energy above the lowest structure with this stoichiometry, meV per atom: 0